## A
Compound: Ta2CuMo
Source: Alexandria
Functional: PBE
Structure: optimized geometry

a b c (Å): 2.722 2.722 8.760
angles (deg): 90.00 90.00 90.00
Sites, in units of the cell vectors:
Ta  0.000  0.000  0.231
Ta  0.000  0.000  0.769
Cu  0.500  0.500  0.000
Mo  0.500  0.500  0.500

***

## B
Compound: Ta2CuMo
Source: Alexandria
Functional: PBE
Structure: optimized geometry

a b c (Å): 5.004 5.004 5.004
angles (deg): 138.17 127.40 69.36
Sites, in units of the cell vectors:
Ta  0.246  0.246  0.000
Ta  0.754  0.754  0.000
Cu  0.500  0.000  0.500
Mo  0.000  0.500  0.500

***

## C
Compound: Ta2CuMo
Source: Alexandria
Functional: PBE
Structure: optimized geometry

a b c (Å): 3.270 3.270 6.038
angles (deg): 90.00 90.00 90.00
Sites, in units of the cell vectors:
Ta  0.000  0.000  0.248
Ta  0.000  0.000  0.752
Cu  0.500  0.500  0.000
Mo  0.500  0.500  0.500

***

## D
Compound: Ta2CuMo
Source: Alexandria
Functional: PBE
Structure: optimized geometry

a b c (Å): 9.777 9.777 9.777
angles (deg): 16.60 16.60 16.60
Sites, in units of the cell vectors:
Ta  0.246  0.246  0.246
Ta  0.754  0.754  0.754
Cu  0.500  0.500  0.500
Mo  0.000  0.000  0.000

***

Most favorable structure: C. The second most favorable one is 149 meV per atom above it.

***

## A
Compound: Ta2Cu2Mo
Source: Alexandria
Functional: PBE
Structure: optimized geometry

a b c (Å): 6.859 6.859 3.270
angles (deg): 90.00 90.00 90.00
Sites, in units of the cell vectors:
Ta  0.182  0.318  0.000
Ta  0.318  0.818  0.000
Ta  0.682  0.182  0.000
Ta  0.818  0.682  0.000
Cu  0.120  0.620  0.500
Cu  0.380  0.120  0.500
Cu  0.620  0.880  0.500
Cu  0.880  0.380  0.500
Mo  0.000  0.000  0.500
Mo  0.500  0.500  0.500

***

## B
Compound: Ta2Cu2Mo
Source: Alexandria
Functional: PBE
Structure: optimized geometry

a b c (Å): 8.019 8.019 8.019
angles (deg): 156.49 156.49 33.49
Sites, in units of the cell vectors:
Ta  0.099  0.099  0.000
Ta  0.901  0.901  0.000
Cu  0.250  0.750  0.500
Cu  0.750  0.250  0.500
Mo  0.500  0.500  0.000

***

Most favorable structure: A. The second most favorable one is 164 meV per atom above it.

***

## A
Compound: Y2TaCuMo
Source: Alexandria
Functional: PBE
Structure: optimized geometry

a b c (Å): 5.318 5.318 4.606
angles (deg): 90.00 90.00 90.00
Sites, in units of the cell vectors:
Y  0.000  0.500  0.000
Y  0.500  0.000  0.000
Ta  0.000  0.000  0.000
Cu  0.000  0.000  0.500
Mo  0.500  0.500  0.500

***

## B
Compound: Y2TaCuMo
Source: Alexandria
Functional: PBE
Structure: optimized geometry

a b c (Å): 5.248 5.248 4.654
angles (deg): 90.00 90.00 90.00
Sites, in units of the cell vectors:
Y  0.000  0.500  0.000
Y  0.500  0.000  0.000
Ta  0.000  0.000  0.500
Cu  0.500  0.500  0.500
Mo  0.500  0.500  0.000

***

Most favorable structure: B. The second most favorable one is 271 meV per atom above it.